Compound: LuNbH3
Source: Alexandria
Functional: PBE
Structure: optimized geometry

abc: 3.732 3.732 3.732
angles: 90.00 90.00 90.00
Space group Pm-3m (No. 221)
Unique sites:
Lu  0.000  0.000  0.000 x1
Nb  0.500  0.500  0.500 x1
H  0.000  0.500  0.500 x3

VASP energy: -26.2 eV for the cell shown
Spin magnetization: 0.0 μB per cell